Entry 1:
Here is a relaxed Co2SiAsF crystal from Alexandria via LeMat-Bulk. Energies are from GGA+U.

- calculated total energy (eV per atom) = -4.193

Lattice parameters (Å, degrees): 4.161 4.379 4.161 90.00 90.00 90.00
Atoms (fractional coordinates):
As1 0.500 0.500 0.500
Si1 0.000 0.500 0.000
F1 0.000 0.000 0.000
Co1 0.500 0.000 0.000
Co2 0.000 0.000 0.500

=====

Entry 2:
Here is a relaxed TaCoAsF2 crystal from Alexandria via LeMat-Bulk. Energies are from GGA+U.

- calculated total energy (eV per atom) = -5.812

Lattice parameters (Å, degrees): 3.939 5.175 3.939 90.00 90.00 90.00
Atoms (fractional coordinates):
Co1 0.000 0.500 0.000
Ta1 0.000 0.000 0.000
F1 0.500 0.000 0.000
As1 0.500 0.500 0.500
F2 0.000 0.000 0.500

=====

Entry 3:
Here is a relaxed CoTeAsF2 crystal from Alexandria via LeMat-Bulk. Energies are from GGA+U.

- calculated total energy (eV per atom) = -3.658

Lattice parameters (Å, degrees): 4.214 5.380 4.214 90.00 90.00 90.00
Atoms (fractional coordinates):
As1 0.500 0.500 0.500
F1 0.500 0.000 0.000
F2 0.000 0.000 0.500
Co1 0.000 0.500 0.000
Te1 0.000 0.000 0.000

=====

Entry 4:
Here is a relaxed TlCoAsF2 crystal from Alexandria via LeMat-Bulk. Energies are from GGA+U.

- calculated total energy (eV per atom) = -3.341

Lattice parameters (Å, degrees): 4.296 6.375 4.296 90.00 90.00 90.00
Atoms (fractional coordinates):
F1 0.500 0.000 0.000
As1 0.500 0.500 0.500
F2 0.000 0.000 0.500
Co1 0.000 0.500 0.000
Tl1 0.000 0.000 0.000

=====

Entry 5:
Here is a relaxed V2CoAsF crystal from Alexandria via LeMat-Bulk. Energies are from GGA+U.

- calculated total energy (eV per atom) = -4.780

Lattice parameters (Å, degrees): 4.999 4.350 4.999 90.00 90.00 90.00
Atoms (fractional coordinates):
Co1 0.000 0.500 0.000
V1 0.500 0.000 0.000
As1 0.000 0.000 0.000
F1 0.500 0.500 0.500
V2 0.000 0.000 0.500